Entry 1:
Computed, not measured: a crystal of NaMnGeI2 relaxed with PBEsol at the meta-GGA SCAN level of DFT.

Cell lengths 6.0021, 6.0021, 4.7330 Å; angles 90.00, 90.00, 90.00 degrees
Space group P4/mmm (No. 123)
Symmetry-distinct sites (fractional):
1 Na 0.0000 0.0000 0.0000 x1
2 Mn 0.5000 0.5000 0.0000 x1
3 Ge 0.5000 0.5000 0.5000 x1
4 I 0.0000 0.5000 0.5000 x2

Values from the calculation:
density: 3.9 g/cm³
ΔE_f (raw): -150.2 meV/atom
volume: 34.1 A^3/atom
D(E_F): 1.309 states/eV/f.u.

=====

Entry 2:
Computed, not measured: a crystal of FeAsC3 relaxed with PBEsol at the meta-GGA SCAN level of DFT.

Cell lengths 3.7412, 3.7412, 3.7412 Å; angles 90.00, 90.00, 90.00 degrees
Space group Pm-3m (No. 221)
Symmetry-distinct sites (fractional):
1 Fe 0.0000 0.0000 0.0000 x1
2 As 0.5000 0.5000 0.5000 x1
3 C 0.0000 0.0000 0.5000 x3

Values from the calculation:
density: 5.3 g/cm³
volume: 10.5 A^3/atom
energy of formation from the pure elements: 2.20 eV/atom
D(E_F): 2.930 states/eV/f.u.

=====

Entry 3:
Computed, not measured: a crystal of SiRu2O relaxed with PBEsol at the meta-GGA SCAN level of DFT.

Cell lengths 5.6798, 5.6798, 5.6798 Å; angles 90.00, 90.00, 90.00 degrees
Space group Fm-3m (No. 225)
Symmetry-distinct sites (fractional):
1 Si 0.0000 0.0000 0.0000 x4
2 Ru 0.2500 0.2500 0.2500 x8
3 O 0.0000 0.0000 0.5000 x4

Values from the calculation:
density: 8.9 g/cm³
ΔE_f (raw): 40.7 meV/atom
volume: 11.5 A^3/atom
D(E_F): 4.285 states/eV/f.u.

=====

Entry 4:
Computed, not measured: a crystal of Li3BN2 relaxed with PBEsol at the meta-GGA SCAN level of DFT.

Cell lengths 5.1025, 6.9846, 6.6963 Å; angles 90.00, 112.98, 90.00 degrees
Space group P2_1/c (No. 14)
Symmetry-distinct sites (fractional):
1 Li 0.2396 0.2086 0.3136 x4
2 Li 0.2509 0.5197 0.5023 x4
3 Li 0.2516 0.5115 0.1245 x4
4 B 0.2852 0.6797 0.8237 x4
5 N 0.0625 0.5610 0.7809 x4
6 N 0.4906 0.2040 0.1347 x4

Values from the calculation:
density: 1.8 g/cm³
ΔE_f (raw): -1008.5 meV/atom
volume: 9.2 A^3/atom
D(E_F): 0.000 states/eV/f.u.

=====

Entry 5:
Computed, not measured: a crystal of LiRe2P relaxed with PBEsol at the meta-GGA SCAN level of DFT.

Cell lengths 2.9714, 4.0868, 8.3741 Å; angles 90.00, 90.00, 90.00 degrees
Space group Imm2 (No. 44)
Symmetry-distinct sites (fractional):
1 Li 0.0000 0.0000 0.0000 x2
2 Re 0.0000 0.0000 0.4686 x2
3 Re 0.0000 0.5000 0.2321 x2
4 P 0.0000 0.5000 0.7416 x2

Values from the calculation:
density: 13.4 g/cm³
volume: 12.7 A^3/atom
energy of formation from the pure elements: 0.15 eV/atom
D(E_F): 2.602 states/eV/f.u.

=====

Entry 6:
Computed, not measured: a crystal of CaCdNi2Se relaxed with PBEsol at the meta-GGA SCAN level of DFT.

Cell lengths 4.5328, 4.5328, 5.1948 Å; angles 90.00, 90.00, 90.00 degrees
Space group P4/mmm (No. 123)
Symmetry-distinct sites (fractional):
1 Ca 0.0000 0.0000 0.0000 x1
2 Cd 0.5000 0.5000 0.5000 x1
3 Ni 0.0000 0.5000 0.0000 x2
4 Se 0.0000 0.0000 0.5000 x1

Values from the calculation:
density: 5.4 g/cm³
ΔE_f (raw): 1041.1 meV/atom
volume: 21.3 A^3/atom
D(E_F): 2.647 states/eV/f.u.